[1]
Compound: ScCdSi2
Source: Alexandria
Functional: GGA-PBE
Structure: optimized geometry

The theoretical density is 4.5 Mg/m³. For the formation energy from raw total energies, the calculation gives 0.1319 eV per atom.

The structure belongs to space group I-42d (No. 122); the cell edges are 7.369, 7.369 and 5.829 Å and the angles 90.00°, 90.00° and 90.00°. The distinct sites, in fractional coordinates, are Sc at (0.000, 0.000, 0.000), Cd at (0.000, 0.000, 0.500) and Si at (0.234, 0.250, 0.625).


[2]
Compound: ScCdSi
Source: Alexandria
Functional: GGA-PBE
Structure: optimized geometry

The theoretical density is 5.4 Mg/m³. For the formation energy from raw total energies, the calculation gives -0.2463 eV per atom.

The structure belongs to space group P-6m2 (No. 187); the cell edges are 4.5297, 4.5297 and 3.2004 Å and the angles 90.00°, 90.00° and 120.00°. The distinct sites, in fractional coordinates, are Sc at (0.0000, 0.0000, 0.0000), Cd at (0.3333, 0.6667, 0.5000) and Si at (0.6667, 0.3333, 0.5000).


[3]
Compound: Sc4CdSi
Source: Alexandria
Functional: GGA-PBE
Structure: optimized geometry

The theoretical density is 4.0 Mg/m³. For the formation energy from raw total energies, the calculation gives 0.2875 eV per atom.

The structure belongs to space group F-43m (No. 216); the cell edges are 8.129, 8.129 and 8.129 Å and the angles 90.00°, 90.00° and 90.00°. The distinct sites, in fractional coordinates, are Sc at (0.124, 0.124, 0.124), Cd at (0.000, 0.000, 0.500) and Si at (0.250, 0.250, 0.750).


[4]
Compound: Sc2Cd2Si
Source: Alexandria
Functional: GGA-PBE
Structure: optimized geometry

The theoretical density is 5.3 Mg/m³. For the formation energy from raw total energies, the calculation gives -0.1256 eV per atom. The calculation puts the offset from the most stable computed form at 0.000 eV/atom.

The structure belongs to space group P4/mbm (No. 127); the cell edges are 6.907, 6.907 and 4.468 Å and the angles 90.00°, 90.00° and 90.00°. The distinct sites, in fractional coordinates, are Sc at (0.167, 0.333, 0.000), Cd at (0.139, 0.639, 0.500) and Si at (0.000, 0.000, 0.500).


[5]
Compound: Sc2CdSi
Source: Alexandria
Functional: GGA-PBE
Structure: optimized geometry

The theoretical density is 4.7 Mg/m³. For the formation energy from raw total energies, the calculation gives 0.1292 eV per atom.

The structure belongs to space group F-43m (No. 216); the cell edges are 6.874, 6.874 and 6.874 Å and the angles 90.00°, 90.00° and 90.00°. The distinct sites, in fractional coordinates, are Sc at (0.000, 0.000, 0.000), Sc at (0.250, 0.250, 0.250), Cd at (0.000, 0.000, 0.500) and Si at (0.250, 0.250, 0.750).


[6]
Compound: ScCdSi2
Source: Alexandria
Functional: GGA-PBE
Structure: optimized geometry

The theoretical density is 4.7 Mg/m³. For the formation energy from raw total energies, the calculation gives 0.1795 eV per atom.

The structure belongs to space group F-43m (No. 216); the cell edges are 6.721, 6.721 and 6.721 Å and the angles 90.00°, 90.00° and 90.00°. The distinct sites, in fractional coordinates, are Sc at (0.000, 0.000, 0.000), Cd at (0.250, 0.250, 0.750), Si at (0.000, 0.000, 0.500) and Si at (0.250, 0.250, 0.250).


[7]
Compound: ScCdSi2
Source: Alexandria
Functional: GGA-PBE
Structure: optimized geometry

The theoretical density is 4.9 Mg/m³. For the formation energy from raw total energies, the calculation gives -0.0791 eV per atom.

The structure belongs to space group Pm (No. 6); the cell edges are 2.932, 4.556 and 5.409 Å and the angles 90.00°, 90.08° and 90.00°. The distinct sites, in fractional coordinates, are Sc at (0.000, 0.000, 0.000), Cd at (0.499, 0.500, 0.717), Si at (0.500, 0.500, 0.207) and Si at (0.503, 0.000, 0.456).


[8]
Compound: Sc2CdSi2
Source: Alexandria
Functional: GGA-PBE
Structure: optimized geometry

The theoretical density is 3.8 Mg/m³. For the formation energy from raw total energies, the calculation gives -0.1493 eV per atom.

The structure belongs to space group I4/mmm (No. 139); the cell edges are 4.634, 4.634 and 10.447 Å and the angles 90.00°, 90.00° and 90.00°. The distinct sites, in fractional coordinates, are Sc at (0.000, 0.500, 0.250), Cd at (0.000, 0.000, 0.000) and Si at (0.000, 0.000, 0.390).


[9]
Compound: Sc2CdSi
Source: Alexandria
Functional: GGA-PBE
Structure: optimized geometry

The theoretical density is 4.4 Mg/m³. For the formation energy from raw total energies, the calculation gives -0.2905 eV per atom.

The structure belongs to space group R-3m (No. 166, hexagonal axes); the cell edges are 3.4356, 3.4356 and 25.3624 Å and the angles 90.00°, 90.00° and 120.00°. The distinct sites, in fractional coordinates, are Sc at (0.0000, 0.0000, 0.2397), Cd at (0.0000, 0.0000, 0.0000) and Si at (0.0000, 0.0000, 0.5000).


[10]
Compound: Sc12Cd3Si5
Source: Alexandria
Functional: GGA-PBE
Structure: optimized geometry

The theoretical density is 3.2 Mg/m³. For the formation energy from raw total energies, the calculation gives 0.0430 eV per atom.

The structure belongs to space group Ia-3d (No. 230); the cell edges are 16.187, 16.187 and 16.187 Å and the angles 90.00°, 90.00° and 90.00°. The distinct sites, in fractional coordinates, are Sc at (0.024, 0.067, 0.648), Cd at (0.000, 0.250, 0.125), Si at (0.000, 0.000, 0.000) and Si at (0.000, 0.250, 0.375).


[11]
Compound: Sc2CdSi
Source: Alexandria
Functional: GGA-PBE
Structure: optimized geometry

The theoretical density is 4.6 Mg/m³. For the formation energy from raw total energies, the calculation gives -0.0946 eV per atom.

The structure belongs to space group P4mm (No. 99); the cell edges are 3.196, 3.196 and 8.216 Å and the angles 90.00°, 90.00° and 90.00°. The distinct sites, in fractional coordinates, are Sc at (0.000, 0.000, 0.000), Sc at (0.500, 0.500, 0.290), Cd at (0.500, 0.500, 0.736) and Si at (0.000, 0.000, 0.503).


[12]
Compound: Sc2CdSi
Source: Alexandria
Functional: GGA-PBE
Structure: optimized geometry

The theoretical density is 4.9 Mg/m³. For the formation energy from raw total energies, the calculation gives -0.4161 eV per atom.

The structure belongs to space group P4/mmm (No. 123); the cell edges are 3.064, 3.064 and 8.393 Å and the angles 90.00°, 90.00° and 90.00°. The distinct sites, in fractional coordinates, are Sc at (0.000, 0.000, 0.217), Cd at (0.500, 0.500, 0.500) and Si at (0.500, 0.500, 0.000).


[13]
Compound: ScCdSi2
Source: Alexandria
Functional: GGA-PBE
Structure: optimized geometry

The theoretical density is 4.7 Mg/m³. For the formation energy from raw total energies, the calculation gives 0.1277 eV per atom.

The structure belongs to space group R-3m (No. 166, hexagonal axes); the cell edges are 3.1422, 3.1422 and 26.6539 Å and the angles 90.00°, 90.00° and 120.00°. The distinct sites, in fractional coordinates, are Sc at (0.0000, 0.0000, 0.0000), Cd at (0.0000, 0.0000, 0.5000) and Si at (0.0000, 0.0000, 0.2531).


[14]
Compound: Sc2CdSi
Source: Alexandria
Functional: GGA-PBE
Structure: optimized geometry

The theoretical density is 4.9 Mg/m³. For the formation energy from raw total energies, the calculation gives -0.3816 eV per atom.

The structure belongs to space group Fmmm (No. 69); the cell edges are 6.344, 6.361 and 7.793 Å and the angles 90.00°, 90.00° and 90.00°. The distinct sites, in fractional coordinates, are Sc at (0.250, 0.250, 0.250), Cd at (0.000, 0.000, 0.000) and Si at (0.000, 0.000, 0.500).


[15]
Compound: ScCdSi3
Source: Alexandria
Functional: GGA-PBE
Structure: optimized geometry

The theoretical density is 3.3 Mg/m³. For the formation energy from raw total energies, the calculation gives 1.0302 eV per atom. The calculation puts the offset from the most stable computed form at 0.179 eV/atom.

The structure belongs to space group Pm-3m (No. 221); the cell edges are 4.952, 4.952 and 4.952 Å and the angles 90.00°, 90.00° and 90.00°. The distinct sites, in fractional coordinates, are Sc at (0.000, 0.000, 0.000), Cd at (0.500, 0.500, 0.500) and Si at (0.000, 0.500, 0.500).


[16]
Compound: ScCd2Si2
Source: Alexandria
Functional: GGA-PBE
Structure: optimized geometry

The theoretical density is 5.2 Mg/m³. For the formation energy from raw total energies, the calculation gives 0.1283 eV per atom. The calculation puts the offset from the most stable computed form at 0.129 eV/atom.

The structure belongs to space group I4/mmm (No. 139); the cell edges are 3.431, 3.431 and 17.809 Å and the angles 90.00°, 90.00° and 90.00°. The distinct sites, in fractional coordinates, are Sc at (0.000, 0.000, 0.000), Cd at (0.000, 0.000, 0.389) and Si at (0.000, 0.500, 0.250).


[17]
Compound: ScCdSi
Source: Alexandria
Functional: GGA-PBE
Structure: optimized geometry

The theoretical density is 5.1 Mg/m³. For the formation energy from raw total energies, the calculation gives -0.0887 eV per atom.

The structure belongs to space group Imm2 (No. 44); the cell edges are 3.046, 3.891 and 10.118 Å and the angles 90.00°, 90.00° and 90.00°. The distinct sites, in fractional coordinates, are Sc at (0.000, 0.000, 0.000), Cd at (0.000, 0.000, 0.308) and Si at (0.000, 0.000, 0.639).


[18]
Compound: ScCd4Si
Source: Alexandria
Functional: GGA-PBE
Structure: optimized geometry

The theoretical density is 6.5 Mg/m³. For the formation energy from raw total energies, the calculation gives 0.2145 eV per atom.

The structure belongs to space group F-43m (No. 216); the cell edges are 8.117, 8.117 and 8.117 Å and the angles 90.00°, 90.00° and 90.00°. The distinct sites, in fractional coordinates, are Sc at (0.000, 0.000, 0.000), Cd at (0.125, 0.125, 0.375) and Si at (0.250, 0.250, 0.750).


[19]
Compound: ScCdSi2
Source: Alexandria
Functional: GGA-PBE
Structure: optimized geometry

The theoretical density is 4.9 Mg/m³. For the formation energy from raw total energies, the calculation gives -0.1790 eV per atom.

The structure belongs to space group Imm2 (No. 44); the cell edges are 3.754, 4.075 and 9.399 Å and the angles 90.00°, 90.00° and 90.00°. The distinct sites, in fractional coordinates, are Sc at (0.000, 0.000, 0.000), Cd at (0.000, 0.500, 0.766), Si at (0.000, 0.000, 0.530) and Si at (0.000, 0.500, 0.237).


[20]
Compound: ScCd2Si2
Source: Alexandria
Functional: GGA-PBE
Structure: optimized geometry

The theoretical density is 5.4 Mg/m³. For the formation energy from raw total energies, the calculation gives 0.0116 eV per atom. The calculation puts the offset from the most stable computed form at 0.013 eV/atom.

The structure belongs to space group I4/mmm (No. 139); the cell edges are 4.085, 4.085 and 12.069 Å and the angles 90.00°, 90.00° and 90.00°. The distinct sites, in fractional coordinates, are Sc at (0.000, 0.000, 0.000), Cd at (0.000, 0.500, 0.250) and Si at (0.000, 0.000, 0.405).


[21]
Compound: Sc2CdSi
Source: Alexandria
Functional: GGA-PBE
Structure: optimized geometry

The theoretical density is 4.7 Mg/m³. For the formation energy from raw total energies, the calculation gives -0.3301 eV per atom.

The structure belongs to space group Imm2 (No. 44); the cell edges are 3.710, 4.394 and 9.902 Å and the angles 90.00°, 90.00° and 90.00°. The distinct sites, in fractional coordinates, are Sc at (0.000, 0.000, 0.000), Sc at (0.000, 0.500, 0.236), Cd at (0.000, 0.000, 0.468) and Si at (0.000, 0.500, 0.755).


[22]
Compound: ScCdSi2
Source: Alexandria
Functional: GGA-PBE
Structure: optimized geometry

The theoretical density is 5.0 Mg/m³. For the formation energy from raw total energies, the calculation gives -0.1746 eV per atom.

The structure belongs to space group P4/mmm (No. 123); the cell edges are 4.259, 4.259 and 3.923 Å and the angles 90.00°, 90.00° and 90.00°. The distinct sites, in fractional coordinates, are Sc at (0.000, 0.000, 0.000), Cd at (0.500, 0.500, 0.000) and Si at (0.000, 0.500, 0.500).


[23]
Compound: ScCdSi2
Source: Alexandria
Functional: GGA-PBE
Structure: optimized geometry

The theoretical density is 4.1 Mg/m³. For the formation energy from raw total energies, the calculation gives -0.0008 eV per atom.

The structure belongs to space group R3m (No. 160, hexagonal axes); the cell edges are 3.6696, 3.6696 and 22.0393 Å and the angles 90.00°, 90.00° and 120.00°. The distinct sites, in fractional coordinates, are Sc at (0.0000, 0.0000, 0.0000), Cd at (0.0000, 0.0000, 0.7700), Si at (0.0000, 0.0000, 0.2550) and Si at (0.0000, 0.0000, 0.5415).


[24]
Compound: ScCdSi
Source: Alexandria
Functional: GGA-PBE
Structure: optimized geometry

The theoretical density is 5.2 Mg/m³. For the formation energy from raw total energies, the calculation gives -0.1307 eV per atom.

The structure belongs to space group Fmm2 (No. 42); the cell edges are 4.204, 4.765 and 11.908 Å and the angles 90.00°, 90.00° and 90.00°. The distinct sites, in fractional coordinates, are Sc at (0.000, 0.000, 0.000), Cd at (0.000, 0.000, 0.693) and Si at (0.000, 0.000, 0.357).


[25]
Compound: Sc2CdSi
Source: Alexandria
Functional: GGA-PBE
Structure: optimized geometry

The theoretical density is 4.5 Mg/m³. For the formation energy from raw total energies, the calculation gives -0.0947 eV per atom.

The structure belongs to space group Cmm2 (No. 35); the cell edges are 4.336, 4.766 and 8.156 Å and the angles 90.00°, 90.00° and 90.00°. The distinct sites, in fractional coordinates, are Sc at (0.000, 0.000, 0.000), Sc at (0.000, 0.500, 0.289), Cd at (0.000, 0.500, 0.731) and Si at (0.000, 0.000, 0.500).